Density functional theory data (PBE-GGA) for a relaxed ZrIr2Se crystal.

Lattice parameters (Å, degrees): 5.4408 5.4408 12.6801 90.00 90.00 90.00
With the nearest neighbours (Å) after each atom.
Space group I-42d (No. 122)
Asymmetric unit:
Zr1 0.0000 0.0000 0.0000 (multiplicity 4)  4 Ir 2.64
Ir1 0.2025 0.2500 0.6250 (multiplicity 8)  2 Se 2.36, 2 Zr 2.64
Se1 0.0000 0.0000 0.5000 (multiplicity 4)  4 Ir 2.36

## Properties
- Formation energy from raw total energies: 0.05 eV/atom
- DOS(E_F): 4.26 states/eV/cell
- Density: 9.81 g/cm³

Density functional theory data (PBE-GGA) for a relaxed PRuSe2 crystal.

Lattice parameters (Å, degrees): 3.5205 3.5729 13.1703 90.00 90.00 90.00
With the nearest neighbours (Å) after each atom.
Space group Immm (No. 71)
Asymmetric unit:
P1 0.0000 0.0000 0.0000 (multiplicity 2)  4 Ru 2.51, 4 Se 2.57
Ru1 0.0000 0.0000 0.5000 (multiplicity 2)  4 P 2.51, 4 Se 2.59
Se1 0.0000 0.5000 0.3581 (multiplicity 4)  2 P 2.57, 2 Ru 2.59

## Properties
- Formation energy from raw total energies: 0.09 eV/atom
- DOS(E_F): 4.31 states/eV/cell
- Density: 5.81 g/cm³

Density functional theory data (PBE-GGA) for a relaxed Rb2AuI7 crystal.

Lattice parameters (Å, degrees): 8.7684 8.7684 12.6286 90.00 90.00 90.00
With the nearest neighbours (Å) after each atom.
Space group I4/mmm (No. 139)
Asymmetric unit:
Rb1 0.0000 0.5000 0.2500 (multiplicity 4)  12 I 4.39-4.44
Au1 0.0000 0.0000 0.0000 (multiplicity 2)  4 I 2.70
I1 0.0000 0.0000 0.2673 (multiplicity 4)  1 I 2.94
I2 0.0000 0.0000 0.5000 (multiplicity 2)  2 I 2.94
I3 0.2178 0.2178 0.0000 (multiplicity 8)  1 Au 2.70

## Properties
- Formation energy from raw total energies: -0.61 eV/atom
- DOS(E_F): 0.00 states/eV/cell
- Density: 4.30 g/cm³

Density functional theory data (PBE-GGA) for a relaxed KHf2CrGe crystal.

Lattice parameters (Å, degrees): 5.1839 5.1839 4.9179 90.00 90.00 90.00
With the nearest neighbours (Å) after each atom.
Space group P4/mmm (No. 123)
Asymmetric unit:
K1 0.0000 0.0000 0.0000 (multiplicity 1)  8 Hf 3.57, 4 Cr 3.67
Hf1 0.0000 0.5000 0.5000 (multiplicity 2)  2 Ge 2.59
Cr1 0.5000 0.5000 0.0000 (multiplicity 1)  2 Ge 2.46
Ge1 0.5000 0.5000 0.5000 (multiplicity 1)  2 Cr 2.46, 4 Hf 2.59

## Properties
- DOS(E_F): 5.90 states/eV/cell
- Density: 6.54 g/cm³
- Formation energy: 911 meV per atom